No. 1
Compound: Tc2Ru2Rh7
Source: the Alexandria database
Functional: PBE-GGA
Structure: relaxed

The uncorrected energy comes out at -89.28 eV for the cell shown. The calculation puts the volume at 14.74 Å³/atom. Its size of the total moment is 0.000 μB/atom. The formation energy from the elements comes out at 0.133 eV/atom.

a b c (Å): 8.983 4.871 4.871
angles (deg): 115.37 106.78 106.78
Fractional coordinates of all 11 atoms:
1 Tc 0.711 0.391 0.391
2 Tc 0.289 0.609 0.609
3 Ru 0.500 0.215 0.785
4 Ru 0.500 0.785 0.215
5 Rh 0.149 0.992 0.556
6 Rh 0.851 0.444 0.008
7 Rh 0.851 0.008 0.444
8 Rh 0.149 0.556 0.992
9 Rh 0.000 0.000 0.000
10 Rh 0.630 0.809 0.809
11 Rh 0.370 0.191 0.191

No. 2
Compound: Tc2Ru8Rh
Source: the Alexandria database
Functional: PBE-GGA
Structure: relaxed

The uncorrected energy comes out at -99.88 eV for the cell shown. The calculation puts the volume at 14.60 Å³/atom. Its size of the total moment is 0.000 μB/atom. The formation energy from the elements comes out at 0.219 eV/atom.

a b c (Å): 4.272 7.258 6.647
angles (deg): 122.57 108.74 90.00
Fractional coordinates of all 11 atoms:
1 Tc 0.215 0.683 0.430
2 Tc 0.785 0.317 0.570
3 Ru 0.592 0.427 0.184
4 Ru 0.315 0.129 0.629
5 Ru 0.157 0.262 0.314
6 Ru 0.059 0.816 0.118
7 Ru 0.843 0.738 0.686
8 Ru 0.685 0.871 0.371
9 Ru 0.408 0.573 0.816
10 Ru 0.941 0.184 0.882
11 Rh 0.500 0.000 0.000

No. 3
Compound: Tc3RuRh
Source: the Alexandria database
Functional: PBE-GGA
Structure: relaxed

The uncorrected energy comes out at -38.49 eV for the cell shown. The calculation puts the volume at 19.11 Å³/atom. Its size of the total moment is 0.000 μB/atom. The calculation puts the polymorph energy (0 for the lowest one) at 0 meV per atom. The formation energy from the elements comes out at 1.846 eV/atom.

a b c (Å): 4.572 4.572 4.572
angles (deg): 90.00 90.00 90.00
Fractional coordinates of all 5 atoms:
1 Ru 0.000 0.000 0.000
2 Rh 0.500 0.500 0.500
3 Tc 0.000 0.500 0.000
4 Tc 0.000 0.000 0.500
5 Tc 0.500 0.000 0.000

No. 4
Compound: Tc2Ru3Rh3
Source: the Alexandria database
Functional: PBE-GGA
Structure: relaxed

The uncorrected energy comes out at -69.31 eV for the cell shown. The calculation puts the volume at 14.60 Å³/atom. Its size of the total moment is 0.000 μB/atom. The formation energy from the elements comes out at 0.162 eV/atom.

a b c (Å): 4.907 4.907 4.907
angles (deg): 85.19 85.19 94.81
Fractional coordinates of all 8 atoms:
1 Tc 0.245 0.245 0.755
2 Tc 0.755 0.755 0.245
3 Ru 0.292 0.708 0.000
4 Ru 0.000 0.292 0.292
5 Ru 0.708 0.000 0.708
6 Rh 0.214 0.786 0.500
7 Rh 0.500 0.214 0.214
8 Rh 0.786 0.500 0.786

No. 5
Compound: TcRuRh
Source: the Alexandria database
Functional: PBE-GGA
Structure: relaxed

The uncorrected energy comes out at -26.57 eV for the cell shown. The calculation puts the volume at 14.54 Å³/atom. Its size of the total moment is 0.000 μB/atom. The calculation puts the polymorph energy (0 for the lowest one) at 254 meV per atom. The formation energy from the elements comes out at 0.140 eV/atom.

a b c (Å): 4.293 4.293 2.733
angles (deg): 90.00 90.00 120.00
Fractional coordinates of all 3 atoms:
1 Rh 0.000 0.000 0.000
2 Ru 0.333 0.667 0.500
3 Tc 0.667 0.333 0.500

No. 6
Compound: TcRuRh
Source: the Alexandria database
Functional: PBE-GGA
Structure: relaxed

The uncorrected energy comes out at -54.67 eV for the cell shown. The calculation puts the volume at 14.12 Å³/atom. Its size of the total moment is 0.000 μB/atom. The calculation puts the polymorph energy (0 for the lowest one) at 0 meV per atom. The formation energy from the elements comes out at -0.113 eV/atom.

a b c (Å): 4.328 4.750 4.750
angles (deg): 119.82 90.00 90.00
Fractional coordinates of all 6 atoms:
1 Tc 0.750 0.576 0.095
2 Tc 0.250 0.905 0.424
3 Rh 0.250 0.238 0.095
4 Rh 0.750 0.905 0.762
5 Ru 0.250 0.568 0.758
6 Ru 0.750 0.242 0.432

No. 7
Compound: TcRuRh
Source: the Alexandria database
Functional: PBE-GGA
Structure: relaxed

The uncorrected energy comes out at -27.00 eV for the cell shown. The calculation puts the volume at 14.25 Å³/atom. Its size of the total moment is 0.000 μB/atom. The calculation puts the polymorph energy (0 for the lowest one) at 113 meV per atom. The formation energy from the elements comes out at -0.001 eV/atom.

a b c (Å): 2.722 2.722 6.661
angles (deg): 90.00 90.00 120.00
Fractional coordinates of all 3 atoms:
1 Ru 0.667 0.333 0.342
2 Rh 0.000 0.000 0.998
3 Tc 0.333 0.667 0.660

No. 8
Compound: TcRu3Rh
Source: the Alexandria database
Functional: PBE-GGA
Structure: relaxed

The uncorrected energy comes out at -183.08 eV for the cell shown. The calculation puts the volume at 14.04 Å³/atom. Its size of the total moment is 0.000 μB/atom. The calculation puts the polymorph energy (0 for the lowest one) at 0 meV per atom. The formation energy from the elements comes out at -0.045 eV/atom.

a b c (Å): 4.740 6.984 9.071
angles (deg): 110.81 90.00 90.00
Fractional coordinates of all 20 atoms:
1 Tc 0.165 0.951 0.600
2 Tc 0.665 0.549 0.900
3 Tc 0.835 0.049 0.400
4 Tc 0.335 0.451 0.100
5 Ru 0.835 0.453 0.603
6 Ru 0.665 0.953 0.103
7 Ru 0.332 0.648 0.700
8 Ru 0.832 0.852 0.800
9 Ru 0.668 0.352 0.300
10 Ru 0.165 0.547 0.397
11 Ru 0.168 0.349 0.801
12 Ru 0.832 0.651 0.199
13 Ru 0.335 0.047 0.897
14 Ru 0.168 0.148 0.200
15 Ru 0.332 0.849 0.301
16 Ru 0.668 0.151 0.699
17 Rh 0.665 0.749 0.499
18 Rh 0.335 0.251 0.501
19 Rh 0.835 0.249 0.999
20 Rh 0.165 0.751 0.001

- Which formula does entry 2 have?
  Tc2Ru8Rh